# 1
Density functional theory data (GGA-PBE) for crystalline Nd4AgAu2 at its relaxed geometry.

Unit cell a=7.495 b=10.391 c=5.156 alpha=90.00 beta=90.00 gamma=90.00
Fractional positions:
Nd: 0.245 0.000 0.000
Nd: 0.250 0.250 0.500
Nd: 0.250 0.750 0.500
Nd: 0.255 0.500 0.000
Nd: 0.745 0.500 0.000
Nd: 0.750 0.250 0.500
Nd: 0.750 0.750 0.500
Nd: 0.755 0.000 0.000
Ag: 0.000 0.500 0.500
Ag: 0.500 0.000 0.500
Au: 0.000 0.243 0.000
Au: 0.000 0.757 0.000
Au: 0.500 0.257 0.000
Au: 0.500 0.743 0.000

Properties
excess energy over the best structure of this formula in the dataset	0.0	meV per atom
magnetic moment	0.00	Bohr magnetons per cell
formation energy from the elements	-3.05	eV per formula unit
ρ	8.92	g cm⁻³

=====

# 2
Density functional theory data (GGA-PBE) for crystalline Li4Mg4Ag at its relaxed geometry.

Unit cell a=4.521 b=6.121 c=7.168 alpha=75.12 beta=89.91 gamma=68.46
Fractional positions:
Li: 0.053 0.396 0.338
Li: 0.395 0.710 0.318
Li: 0.605 0.290 0.682
Li: 0.947 0.604 0.662
Mg: 0.152 0.194 0.002
Mg: 0.284 0.933 0.667
Mg: 0.716 0.067 0.333
Mg: 0.848 0.806 0.998
Ag: 0.500 0.500 0.000

Properties
magnetic moment	0.00	Bohr magnetons per cell
formation energy from the elements	-0.92	eV per formula unit
ρ	2.18	g cm⁻³

=====

# 3
Density functional theory data (GGA-PBE) for crystalline Sm6TlZn2 at its relaxed geometry.

Unit cell a=8.796 b=8.796 c=8.796 alpha=110.83 beta=110.05 gamma=107.55
Fractional positions:
Sm: 0.032 0.817 0.215
Sm: 0.242 0.534 0.292
Sm: 0.242 0.950 0.708
Sm: 0.272 0.316 0.588
Sm: 0.272 0.684 0.957
Sm: 0.399 0.183 0.215
Sm: 0.601 0.817 0.785
Sm: 0.728 0.316 0.043
Sm: 0.728 0.684 0.412
Sm: 0.758 0.050 0.292
Sm: 0.758 0.466 0.708
Sm: 0.968 0.183 0.785
Tl: 0.000 0.500 0.500
Tl: 0.500 0.000 0.500
Zn: 0.000 0.133 0.133
Zn: 0.000 0.867 0.867
Zn: 0.377 0.377 0.000
Zn: 0.623 0.623 0.000

Properties
magnetic moment	0.00	Bohr magnetons per cell
formation energy from the elements	-1.79	eV per formula unit
ρ	7.85	g cm⁻³

=====

# 4
Density functional theory data (GGA-PBE) for crystalline Cs2YCrBr6 at its relaxed geometry.

Unit cell a=7.968 b=7.968 c=7.968 alpha=60.00 beta=60.00 gamma=60.00
Fractional positions:
Cs: 0.250 0.250 0.250
Cs: 0.750 0.750 0.750
Y: 0.000 0.000 0.000
Cr: 0.500 0.500 0.500
Br: 0.250 0.250 0.750
Br: 0.250 0.750 0.250
Br: 0.250 0.750 0.750
Br: 0.750 0.250 0.250
Br: 0.750 0.250 0.750
Br: 0.750 0.750 0.250

Properties
formation energy from raw total energies	-14.8	eV per formula unit
magnetic moment	5.00	Bohr magnetons per cell
ρ	4.11	g cm⁻³

=====

# 5
Density functional theory data (GGA-PBE) for crystalline CsBaGeBi2 at its relaxed geometry.

Unit cell a=5.885 b=5.885 c=5.965 alpha=90.00 beta=90.00 gamma=90.00
Fractional positions:
Cs: 0.000 0.000 0.000
Ba: 0.500 0.500 0.000
Ge: 0.000 0.000 0.500
Bi: 0.000 0.500 0.500
Bi: 0.500 0.000 0.500

Properties
magnetic moment	0.00	Bohr magnetons per cell
formation energy from the elements	-0.07	eV per formula unit
ρ	6.12	g cm⁻³

=====

# 6
Density functional theory data (GGA-PBE) for crystalline BeCuCl2 at its relaxed geometry.

Unit cell a=3.053 b=7.259 c=8.354 alpha=90.00 beta=90.00 gamma=90.00
Fractional positions:
Be: 0.000 0.000 0.000
Be: 0.500 0.500 0.000
Cu: 0.000 0.500 0.220
Cu: 0.500 0.000 0.220
Cl: 0.000 0.000 0.418
Cl: 0.000 0.500 0.842
Cl: 0.500 0.000 0.842
Cl: 0.500 0.500 0.418

Properties
excess energy over the best structure of this formula in the dataset	165.5	meV per atom
formation energy from raw total energies	-1.2	eV per formula unit
magnetic moment	0.00	Bohr magnetons per cell
ρ	2.57	g cm⁻³